Compound: LaPm2Y5Ho
Source: Alexandria
Functional: PBE
Structure: relaxed

## Properties
Space-group type ... No. 140
Formation energy ... 248 meV/atom

Unit cell a=9.956 b=9.956 c=9.956 alpha=127.51 beta=127.51 gamma=77.42
Fractional coordinates of all 18 atoms:
La: 0.250 0.250 0.000
La: 0.750 0.750 0.000
Pm: 0.116 0.616 0.732
Pm: 0.384 0.116 0.500
Pm: 0.616 0.884 0.500
Pm: 0.884 0.384 0.268
Y: 0.000 0.000 0.000
Y: 0.073 0.156 0.500
Y: 0.156 0.656 0.084
Y: 0.344 0.427 0.500
Y: 0.427 0.927 0.084
Y: 0.500 0.500 0.000
Y: 0.573 0.073 0.916
Y: 0.656 0.573 0.500
Y: 0.844 0.344 0.916
Y: 0.927 0.844 0.500
Ho: 0.250 0.750 0.500
Ho: 0.750 0.250 0.500


Compound: La2Pm6Y3Ho
Source: Alexandria
Functional: PBE
Structure: relaxed

## Properties
Space-group type ... No. 12
Formation energy ... 18 meV/atom

Unit cell a=6.308 b=6.308 c=12.040 alpha=95.02 beta=95.02 gamma=120.02
Fractional coordinates of all 12 atoms:
La: 0.166 0.834 0.000
La: 0.834 0.166 0.000
Pm: 0.084 0.416 0.747
Pm: 0.252 0.252 0.254
Pm: 0.416 0.084 0.747
Pm: 0.584 0.916 0.253
Pm: 0.748 0.748 0.746
Pm: 0.916 0.584 0.253
Y: 0.000 0.000 0.500
Y: 0.334 0.666 0.500
Y: 0.666 0.334 0.500
Ho: 0.500 0.500 0.000


Compound: La4Pm2YHo2
Source: Alexandria
Functional: PBE
Structure: relaxed

## Properties
Space-group type ... No. 12
Formation energy ... 28 meV/atom

Unit cell a=8.211 b=8.211 c=8.125 alpha=107.65 beta=107.65 gamma=36.94
Fractional coordinates of all 9 atoms:
La: 0.054 0.054 0.330
La: 0.276 0.276 0.669
La: 0.724 0.724 0.331
La: 0.946 0.946 0.670
Pm: 0.388 0.388 0.330
Pm: 0.612 0.612 0.670
Y: 0.500 0.500 0.000
Ho: 0.168 0.168 0.000
Ho: 0.832 0.832 0.000


Compound: La2PmY6Ho3
Source: Alexandria
Functional: PBE
Structure: relaxed

## Properties
Space-group type ... No. 12
Formation energy ... 22 meV/atom

Unit cell a=6.237 b=6.237 c=11.883 alpha=95.01 beta=95.01 gamma=119.99
Fractional coordinates of all 12 atoms:
La: 0.167 0.833 0.000
La: 0.833 0.167 0.000
Pm: 0.500 0.500 0.000
Y: 0.082 0.415 0.745
Y: 0.253 0.253 0.255
Y: 0.415 0.082 0.745
Y: 0.585 0.918 0.255
Y: 0.747 0.747 0.745
Y: 0.918 0.585 0.255
Ho: 0.000 0.000 0.500
Ho: 0.333 0.667 0.500
Ho: 0.667 0.333 0.500


Compound: La2PmYHo
Source: Alexandria
Functional: PBE
Structure: relaxed

## Properties
Space-group type ... No. 63
Formation energy ... 324 meV/atom

Unit cell a=7.318 b=7.318 c=6.919 alpha=90.00 beta=90.00 gamma=81.19
Fractional coordinates of all 10 atoms:
La: 0.250 0.250 0.000
La: 0.250 0.250 0.500
La: 0.750 0.750 0.000
La: 0.750 0.750 0.500
Pm: 0.100 0.900 0.750
Pm: 0.900 0.100 0.250
Y: 0.252 0.748 0.250
Y: 0.748 0.252 0.750
Ho: 0.410 0.590 0.750
Ho: 0.590 0.410 0.250


Compound: La2PmYHo2
Source: Alexandria
Functional: PBE
Structure: relaxed

## Properties
Space-group type ... No. 26
Formation energy ... 61 meV/atom

Unit cell a=5.734 b=9.911 c=7.142 alpha=90.00 beta=90.00 gamma=90.00
Fractional coordinates of all 12 atoms:
La: 0.000 0.000 0.000
La: 0.000 0.000 0.500
La: 0.500 0.176 0.250
La: 0.500 0.824 0.750
Pm: 0.000 0.340 0.751
Pm: 0.000 0.660 0.251
Y: 0.500 0.500 0.000
Y: 0.500 0.500 0.500
Ho: 0.000 0.334 0.250
Ho: 0.000 0.666 0.750
Ho: 0.500 0.166 0.750
Ho: 0.500 0.834 0.250


Compound: La2Pm6YHo3
Source: Alexandria
Functional: PBE
Structure: relaxed

## Properties
Space-group type ... No. 12
Formation energy ... 20 meV/atom

Unit cell a=6.294 b=6.294 c=12.017 alpha=95.02 beta=95.02 gamma=120.01
Fractional coordinates of all 12 atoms:
La: 0.167 0.833 0.000
La: 0.833 0.167 0.000
Pm: 0.082 0.415 0.745
Pm: 0.253 0.253 0.255
Pm: 0.415 0.082 0.745
Pm: 0.585 0.918 0.255
Pm: 0.747 0.747 0.745
Pm: 0.918 0.585 0.255
Y: 0.500 0.500 0.000
Ho: 0.000 0.000 0.500
Ho: 0.334 0.666 0.500
Ho: 0.666 0.334 0.500


Compound: LaPmYHo3
Source: Alexandria
Functional: PBE
Structure: relaxed

## Properties
Space-group type ... No. 2
Formation energy ... 59 meV/atom

Unit cell a=5.691 b=6.987 c=9.862 alpha=89.98 beta=89.98 gamma=89.99
Fractional coordinates of all 12 atoms:
La: 0.250 0.001 0.245
La: 0.750 0.999 0.755
Pm: 0.248 0.260 0.583
Pm: 0.752 0.740 0.417
Y: 0.250 0.498 0.245
Y: 0.750 0.502 0.755
Ho: 0.248 0.744 0.916
Ho: 0.252 0.254 0.917
Ho: 0.252 0.748 0.584
Ho: 0.748 0.252 0.416
Ho: 0.748 0.746 0.083
Ho: 0.752 0.256 0.084


Compound: La2Pm2YHo2
Source: Alexandria
Functional: PBE
Structure: relaxed

## Properties
Space-group type ... No. 12
Formation energy ... 25 meV/atom

Unit cell a=11.469 b=5.140 c=8.140 alpha=90.00 beta=98.10 gamma=90.00
Fractional coordinates of all 14 atoms:
La: 0.142 0.000 0.426
La: 0.358 0.500 0.574
La: 0.642 0.500 0.426
La: 0.858 0.000 0.574
Pm: 0.215 0.500 0.140
Pm: 0.285 0.000 0.860
Pm: 0.715 0.000 0.140
Pm: 0.785 0.500 0.860
Y: 0.000 0.000 0.000
Y: 0.500 0.500 0.000
Ho: 0.071 0.500 0.716
Ho: 0.429 0.000 0.284
Ho: 0.571 0.000 0.716
Ho: 0.929 0.500 0.284


Compound: LaPm6Y2Ho3
Source: Alexandria
Functional: PBE
Structure: relaxed

## Properties
Space-group type ... No. 12
Formation energy ... 17 meV/atom

Unit cell a=6.270 b=6.270 c=11.950 alpha=95.01 beta=95.01 gamma=120.00
Fractional coordinates of all 12 atoms:
La: 0.000 0.000 0.000
Pm: 0.085 0.419 0.254
Pm: 0.249 0.249 0.746
Pm: 0.419 0.085 0.254
Pm: 0.581 0.915 0.746
Pm: 0.751 0.751 0.254
Pm: 0.915 0.581 0.746
Y: 0.333 0.667 0.000
Y: 0.667 0.333 0.000
Ho: 0.167 0.833 0.500
Ho: 0.500 0.500 0.500
Ho: 0.833 0.167 0.500


Compound: La2PmY6Ho
Source: Alexandria
Functional: PBE
Structure: relaxed

## Properties
Space-group type ... No. 15
Formation energy ... 113 meV/atom

Unit cell a=8.785 b=8.785 c=9.979 alpha=95.67 beta=95.67 gamma=117.44
Fractional coordinates of all 20 atoms:
La: 0.193 0.286 0.044
La: 0.286 0.193 0.544
La: 0.714 0.807 0.456
La: 0.807 0.714 0.956
Pm: 0.013 0.987 0.250
Pm: 0.987 0.013 0.750
Y: 0.019 0.578 0.188
Y: 0.118 0.735 0.557
Y: 0.265 0.882 0.943
Y: 0.302 0.511 0.383
Y: 0.422 0.981 0.312
Y: 0.489 0.698 0.117
Y: 0.511 0.302 0.883
Y: 0.578 0.019 0.688
Y: 0.698 0.489 0.617
Y: 0.735 0.118 0.057
Y: 0.882 0.265 0.443
Y: 0.981 0.422 0.812
Ho: 0.404 0.596 0.750
Ho: 0.596 0.404 0.250


Compound: LaPm2Y4Ho2
Source: Alexandria
Functional: PBE
Structure: relaxed

## Properties
Space-group type ... No. 2
Formation energy ... 74 meV/atom

Unit cell a=6.032 b=6.677 c=8.817 alpha=82.43 beta=70.09 gamma=64.28
Fractional coordinates of all 9 atoms:
La: 0.000 0.000 0.000
Pm: 0.086 0.320 0.650
Pm: 0.914 0.680 0.350
Y: 0.368 0.139 0.241
Y: 0.384 0.419 0.878
Y: 0.616 0.581 0.122
Y: 0.632 0.861 0.759
Ho: 0.267 0.769 0.548
Ho: 0.733 0.231 0.452